<1>
{
  "formula": "La2ErTm6",
  "functional": "GGA-PBE",
  "state": "relaxed",
  "cell": [[9.754, 0.000, 0.000], [-4.877, 8.447, 0.000], [0.000, 0.000, 3.459]],
  "species": ["La", "La", "Er", "Tm", "Tm", "Tm", "Tm", "Tm", "Tm"],
  "frac_coords": [[0.333, 0.667, 0.000], [0.667, 0.333, 0.000], [0.000, 0.000, 0.000], [0.000, 0.330, 0.500], [0.000, 0.670, 0.500], [0.330, 0.000, 0.500], [0.330, 0.330, 0.500], [0.670, 0.000, 0.500], [0.670, 0.670, 0.500]],
  "vol_a3_per_fu": 285.0,
  "magnetic_moment_mub_per_cell": 0.00,
  "dos_ef_per_ev_fu": 15.39
}


<2>
{
  "formula": "La2ErTm6",
  "functional": "GGA-PBE",
  "state": "relaxed",
  "cell": [[6.676, -5.847, 0.000], [6.676, 5.847, 0.000], [-5.260, 0.000, 7.358]],
  "species": ["La", "La", "La", "La", "Er", "Er", "Tm", "Tm", "Tm", "Tm", "Tm", "Tm", "Tm", "Tm", "Tm", "Tm", "Tm", "Tm"],
  "frac_coords": [[0.101, 0.283, 0.437], [0.283, 0.101, 0.937], [0.717, 0.899, 0.063], [0.899, 0.717, 0.563], [0.330, 0.670, 0.750], [0.670, 0.330, 0.250], [0.096, 0.832, 0.039], [0.108, 0.436, 0.860], [0.168, 0.904, 0.461], [0.313, 0.497, 0.317], [0.436, 0.108, 0.360], [0.497, 0.313, 0.817], [0.503, 0.687, 0.183], [0.564, 0.892, 0.640], [0.687, 0.503, 0.683], [0.832, 0.096, 0.539], [0.892, 0.564, 0.140], [0.904, 0.168, 0.961]],
  "vol_a3_per_fu": 287.2,
  "magnetic_moment_mub_per_cell": 0.00,
  "dos_ef_per_ev_fu": 12.04
}


Most stable one: <2>, least stable one: <1>.


<1>
{
  "formula": "LaEr8Tm6",
  "functional": "GGA-PBE",
  "state": "relaxed",
  "cell": [[9.364, 0.000, 0.000], [-4.682, 8.109, 0.000], [0.000, 0.000, 6.401]],
  "species": ["La", "Er", "Er", "Er", "Er", "Er", "Er", "Er", "Er", "Tm", "Tm", "Tm", "Tm", "Tm", "Tm"],
  "frac_coords": [[0.000, 0.000, 0.000], [0.026, 0.685, 0.590], [0.315, 0.341, 0.590], [0.333, 0.667, 0.332], [0.341, 0.026, 0.410], [0.659, 0.974, 0.590], [0.667, 0.333, 0.668], [0.685, 0.659, 0.410], [0.974, 0.315, 0.410], [0.101, 0.421, 0.911], [0.319, 0.899, 0.911], [0.421, 0.319, 0.089], [0.579, 0.681, 0.911], [0.681, 0.101, 0.089], [0.899, 0.579, 0.089]],
  "vol_a3_per_fu": 486.0,
  "magnetic_moment_mub_per_cell": 0.00,
  "dos_ef_per_ev_fu": 21.20
}


<2>
{
  "formula": "LaEr8Tm6",
  "functional": "GGA-PBE",
  "state": "relaxed",
  "cell": [[4.460, 2.575, 6.819], [-4.460, 2.575, 6.819], [0.000, -5.150, 6.819]],
  "species": ["La", "Er", "Er", "Er", "Er", "Er", "Er", "Er", "Er", "Tm", "Tm", "Tm", "Tm", "Tm", "Tm"],
  "frac_coords": [[0.000, 0.000, 0.000], [0.111, 0.745, 0.719], [0.255, 0.281, 0.889], [0.281, 0.889, 0.255], [0.423, 0.423, 0.423], [0.577, 0.577, 0.577], [0.719, 0.111, 0.745], [0.745, 0.719, 0.111], [0.889, 0.255, 0.281], [0.106, 0.235, 0.536], [0.235, 0.536, 0.106], [0.464, 0.894, 0.765], [0.536, 0.106, 0.235], [0.765, 0.464, 0.894], [0.894, 0.765, 0.464]],
  "vol_a3_per_fu": 469.9,
  "magnetic_moment_mub_per_cell": 0.00,
  "dos_ef_per_ev_fu": 23.60
}


Most stable one: <2>, least stable one: <1>.


<1>
{
  "formula": "La3ErTm6",
  "functional": "GGA-PBE",
  "state": "relaxed",
  "cell": [[4.929, 2.846, 3.856], [-4.929, 2.846, 3.856], [0.000, -5.692, 3.856]],
  "species": ["La", "La", "La", "Er", "Tm", "Tm", "Tm", "Tm", "Tm", "Tm"],
  "frac_coords": [[0.000, 0.000, 0.000], [0.248, 0.248, 0.248], [0.495, 0.495, 0.495], [0.748, 0.748, 0.748], [0.167, 0.503, 0.822], [0.327, 0.991, 0.672], [0.503, 0.822, 0.167], [0.672, 0.327, 0.991], [0.822, 0.167, 0.503], [0.991, 0.672, 0.327]],
  "vol_a3_per_fu": 324.6,
  "magnetic_moment_mub_per_cell": 0.00,
  "dos_ef_per_ev_fu": 22.03
}


<2>
{
  "formula": "La3ErTm6",
  "functional": "GGA-PBE",
  "state": "relaxed",
  "cell": [[5.532, -9.495, 0.000], [5.532, 9.495, 0.000], [0.000, 0.000, 6.247]],
  "species": ["La", "La", "La", "La", "La", "La", "Er", "Er", "Tm", "Tm", "Tm", "Tm", "Tm", "Tm", "Tm", "Tm", "Tm", "Tm", "Tm", "Tm"],
  "frac_coords": [[0.109, 0.891, 0.500], [0.217, 0.440, 0.903], [0.440, 0.217, 0.403], [0.560, 0.783, 0.903], [0.783, 0.560, 0.403], [0.891, 0.109, 0.000], [0.297, 0.703, 0.570], [0.703, 0.297, 0.070], [0.037, 0.460, 0.308], [0.117, 0.214, 0.478], [0.214, 0.117, 0.978], [0.221, 0.779, 0.072], [0.457, 0.543, 0.341], [0.460, 0.037, 0.808], [0.540, 0.963, 0.308], [0.543, 0.457, 0.841], [0.779, 0.221, 0.572], [0.786, 0.883, 0.478], [0.883, 0.786, 0.978], [0.963, 0.540, 0.808]],
  "vol_a3_per_fu": 328.1,
  "magnetic_moment_mub_per_cell": 0.00,
  "dos_ef_per_ev_fu": 15.05
}


Most stable one: <2>, least stable one: <1>.


<1>
{
  "formula": "La4Er3Tm4",
  "functional": "GGA-PBE",
  "state": "relaxed",
  "cell": [[3.505, 0.000, 0.000], [0.000, 5.683, 0.000], [-1.750, -2.839, 17.893]],
  "species": ["La", "La", "La", "La", "Er", "Er", "Er", "Tm", "Tm", "Tm", "Tm"],
  "frac_coords": [[0.092, 0.092, 0.184], [0.231, 0.730, 0.461], [0.769, 0.270, 0.539], [0.908, 0.908, 0.816], [0.363, 0.364, 0.728], [0.500, 0.000, 0.000], [0.637, 0.636, 0.272], [0.045, 0.545, 0.090], [0.181, 0.181, 0.363], [0.819, 0.819, 0.637], [0.955, 0.455, 0.910]],
  "vol_a3_per_fu": 356.4,
  "magnetic_moment_mub_per_cell": 0.00,
  "dos_ef_per_ev_fu": 17.85
}


<2>
{
  "formula": "La4Er3Tm4",
  "functional": "GGA-PBE",
  "state": "relaxed",
  "cell": [[3.597, 0.000, 0.000], [0.000, 5.623, 0.000], [1.772, 2.808, 18.050]],
  "species": ["La", "La", "La", "La", "Er", "Er", "Er", "Tm", "Tm", "Tm", "Tm"],
  "frac_coords": [[0.054, 0.053, 0.395], [0.177, 0.677, 0.146], [0.823, 0.323, 0.854], [0.946, 0.947, 0.605], [0.353, 0.853, 0.793], [0.500, 0.500, 0.500], [0.647, 0.147, 0.207], [0.235, 0.235, 0.031], [0.406, 0.407, 0.685], [0.594, 0.593, 0.315], [0.765, 0.765, 0.969]],
  "vol_a3_per_fu": 365.1,
  "magnetic_moment_mub_per_cell": 0.00,
  "dos_ef_per_ev_fu": 17.35
}


Most stable one: <2>, least stable one: <1>.


<1>
{
  "formula": "LaEr7Tm2",
  "functional": "GGA-PBE",
  "state": "relaxed",
  "cell": [[4.354, -7.946, 0.000], [4.354, 7.946, 0.000], [0.000, 0.000, 5.625]],
  "species": ["La", "Er", "Er", "Er", "Er", "Er", "Er", "Er", "Tm", "Tm"],
  "frac_coords": [[0.000, 0.000, 0.000], [0.059, 0.294, 0.500], [0.220, 0.780, 0.000], [0.294, 0.059, 0.500], [0.500, 0.500, 0.500], [0.706, 0.941, 0.500], [0.780, 0.220, 0.000], [0.941, 0.706, 0.500], [0.297, 0.703, 0.500], [0.703, 0.297, 0.500]],
  "vol_a3_per_fu": 389.2,
  "magnetic_moment_mub_per_cell": 0.00,
  "dos_ef_per_ev_fu": 13.91
}


<2>
{
  "formula": "LaEr7Tm2",
  "functional": "GGA-PBE",
  "state": "relaxed",
  "cell": [[6.109, 0.000, 0.000], [1.016, 6.030, 0.000], [3.042, 2.558, 8.435]],
  "species": ["La", "Er", "Er", "Er", "Er", "Er", "Er", "Er", "Tm", "Tm"],
  "frac_coords": [[0.000, 0.000, 0.000], [0.099, 0.497, 0.302], [0.201, 0.001, 0.598], [0.303, 0.500, 0.898], [0.500, 0.500, 0.500], [0.697, 0.500, 0.102], [0.799, 0.999, 0.402], [0.901, 0.503, 0.698], [0.399, 0.999, 0.203], [0.601, 0.001, 0.797]],
  "vol_a3_per_fu": 310.7,
  "magnetic_moment_mub_per_cell": 0.00,
  "dos_ef_per_ev_fu": 14.44
}


Most stable one: <2>, least stable one: <1>.


<1>
{
  "formula": "La4ErTm",
  "functional": "GGA-PBE",
  "state": "relaxed",
  "cell": [[6.837, 0.000, 0.000], [0.000, 10.304, 0.000], [-3.211, 0.000, 5.975]],
  "species": ["La", "La", "La", "La", "La", "La", "La", "La", "Er", "Er", "Tm", "Tm"],
  "frac_coords": [[0.247, 0.182, 0.248], [0.247, 0.318, 0.748], [0.252, 0.682, 0.754], [0.252, 0.818, 0.254], [0.748, 0.182, 0.746], [0.748, 0.318, 0.246], [0.753, 0.682, 0.252], [0.753, 0.818, 0.752], [0.500, 0.000, 0.000], [0.500, 0.500, 0.500], [0.000, 0.000, 0.500], [0.000, 0.500, 0.000]],
  "vol_a3_per_fu": 210.4,
  "magnetic_moment_mub_per_cell": 0.00,
  "dos_ef_per_ev_fu": 10.57
}


<2>
{
  "formula": "La4ErTm",
  "functional": "GGA-PBE",
  "state": "relaxed",
  "cell": [[9.718, 0.000, 0.000], [0.000, 6.128, 0.000], [-0.007, 0.000, 6.958]],
  "species": ["La", "La", "La", "La", "La", "La", "La", "La", "Er", "Er", "Tm", "Tm"],
  "frac_coords": [[0.173, 0.064, 0.499], [0.173, 0.936, 0.999], [0.326, 0.437, 0.000], [0.326, 0.563, 0.500], [0.674, 0.437, 0.500], [0.674, 0.563, 0.000], [0.827, 0.064, 0.001], [0.827, 0.936, 0.501], [0.500, 0.001, 0.750], [0.500, 0.999, 0.250], [0.000, 0.499, 0.750], [0.000, 0.501, 0.250]],
  "vol_a3_per_fu": 207.2,
  "magnetic_moment_mub_per_cell": 0.00,
  "dos_ef_per_ev_fu": 9.37
}


Most stable one: <2>, least stable one: <1>.